Record 1
Entry from Alexandria: a PBEsol-optimized structure of La5Sc (SCAN).

Structure (POSCAR):
```
La5Sc
1.0
5.7715 0.0000 0.0000
0.0000 6.2290 0.0000
0.0000 -3.1145 5.3945
Sc La
1 5
Direct
0.5000 0.0000 0.0000
0.0000 0.6846 0.0000
0.0000 0.0000 0.6846
0.0000 0.3154 0.3154
0.5000 0.3333 0.6667
0.5000 0.6667 0.3333
```

Calculated values
final energy: -38.2465 eV per atom
size of the total moment: 0.0000 μB/atom
crystal system: hexagonal
calculated volume: 32.32 Å³/atom
distance to the lowest polymorph of the same formula: 21.0 meV per atom
formation energy: 47 meV/atom
Fermi-level density of states: 1.56 states/eV per atom



Record 2
Entry from Alexandria: a PBEsol-optimized structure of SiTc2Ru (SCAN).

Structure (POSCAR):
```
SiTc2Ru
1.0
2.6873 0.0039 0.0000
-1.1125 2.4461 0.0000
0.0000 0.0000 8.2604
Ru Si Tc
1 1 2
Direct
0.5000 0.5000 0.5000
0.5000 0.5000 0.0000
0.0000 0.0000 0.2359
0.0000 0.0000 0.7641
```

Calculated values
final energy: -28.5541 eV per atom
size of the total moment: 0.0021 μB/atom
crystal system: orthorhombic
calculated volume: 13.58 Å³/atom
Fermi-level density of states: 1.04 states/eV per atom
energy relative to the elements, uncorrected: 0.19 eV per atom



Record 3
Entry from Alexandria: a PBEsol-optimized structure of SrCa3 (SCAN).

Structure (POSCAR):
```
SrCa3
1.0
6.7996 0.0000 0.0000
0.0000 7.8498 0.0000
0.0000 0.0000 12.9352
Ca Sr
12 4
Direct
0.9170 0.1267 0.2500
0.5830 0.6267 0.7500
0.4170 0.3733 0.2500
0.0830 0.8733 0.7500
0.2563 0.6261 0.9978
0.2437 0.1261 0.0022
0.7563 0.8739 0.5022
0.7437 0.3739 0.4978
0.7437 0.3739 0.0022
0.7563 0.8739 0.9978
0.2437 0.1261 0.4978
0.2563 0.6261 0.5022
0.9196 0.6214 0.2500
0.5804 0.1214 0.7500
0.4196 0.8786 0.2500
0.0804 0.3786 0.7500
```

Calculated values
final energy: -12.7989 eV per atom
size of the total moment: 0.1025 μB/atom
crystal system: orthorhombic
calculated volume: 43.15 Å³/atom
distance to the lowest polymorph of the same formula: 6.5 meV per atom
formation energy: 17 meV/atom
Fermi-level density of states: 1.05 states/eV per atom



Record 4
Entry from Alexandria: a PBEsol-optimized structure of Zr2TlOs (SCAN).

Structure (POSCAR):
```
Zr2TlOs
1.0
-4.1844 -0.7781 -2.1858
-3.9282 -0.8646 2.5912
-3.4739 3.2809 0.2457
Os Tl Zr
1 1 2
Direct
0.0000 0.0000 0.0000
0.5000 0.5000 0.5000
0.2500 0.2500 0.2500
0.7500 0.7500 0.7500
```

Calculated values
final energy: -51.5985 eV per atom
size of the total moment: 0.0000 μB/atom
crystal system: cubic
calculated volume: 19.36 Å³/atom
distance to the lowest polymorph of the same formula: 256.5 meV per atom
formation energy: -190 meV/atom
Fermi-level density of states: 0.74 states/eV per atom



Record 5
Entry from Alexandria: a PBEsol-optimized structure of TaMoOs (SCAN).

Structure (POSCAR):
```
TaMoOs
1.0
-0.4066 -0.1320 4.2343
-3.6000 -1.4480 1.7479
-0.0283 -3.7462 2.0192
Mo Os Ta
1 1 1
Direct
0.2500 0.2500 0.2500
0.0000 0.0000 0.0000
0.5000 0.5000 0.5000
```

Calculated values
final energy: -57.1008 eV per atom
size of the total moment: 0.0000 μB/atom
crystal system: cubic
calculated volume: 18.17 Å³/atom
formation energy: 682 meV/atom
Fermi-level density of states: 1.35 states/eV per atom



Record 6
Entry from Alexandria: a PBEsol-optimized structure of KBaCa2S (SCAN).

Structure (POSCAR):
```
KBaCa2S
1.0
5.5882 0.0000 0.0000
0.0000 5.5882 0.0000
0.0000 0.0000 6.5010
K Ca S Ba
1 2 1 1
Direct
0.5000 0.5000 0.5000
0.0000 0.5000 0.0000
0.5000 0.0000 0.0000
0.0000 0.0000 0.0000
0.0000 0.0000 0.5000
```

Calculated values
final energy: -16.0871 eV per atom
size of the total moment: 0.2306 μB/atom
crystal system: tetragonal
calculated volume: 40.60 Å³/atom
Fermi-level density of states: 0.74 states/eV per atom
energy relative to the elements, uncorrected: -0.72 eV per atom



Record 7
Entry from Alexandria: a PBEsol-optimized structure of Al13Cu3S24 (SCAN).

Structure (POSCAR):
```
Al13Cu3S24
1.0
-1.1234 2.0875 6.5438
-1.4925 -4.7192 4.8931
16.5179 -1.6694 3.1904
Al Cu S
13 3 24
Direct
0.8203 0.3321 0.8392
0.5031 0.0057 0.5016
0.1652 0.6660 0.1620
0.1586 0.1586 0.6597
0.8416 0.8416 0.3313
0.3321 0.8203 0.8392
0.0057 0.5031 0.5016
0.6660 0.1652 0.1620
0.3344 0.3344 0.8403
0.6682 0.6682 0.1633
0.8234 0.8234 0.7086
0.4941 0.4941 0.3760
0.1638 0.1638 0.0540
0.8304 0.8304 0.9536
0.5054 0.5054 0.6235
0.1694 0.1694 0.2926
0.6539 0.6539 0.9166
0.3257 0.3257 0.5848
0.9954 0.9954 0.2435
0.6550 0.1803 0.9172
0.3326 0.8480 0.5779
0.9907 0.5223 0.2467
0.4951 0.4951 0.7579
0.1817 0.1817 0.4215
0.8323 0.8323 0.0869
0.1803 0.6550 0.9172
0.8480 0.3326 0.5779
0.5223 0.9907 0.2467
0.4685 0.0080 0.7546
0.1487 0.6884 0.4213
0.8057 0.3462 0.0822
0.1627 0.1627 0.9132
0.8381 0.8381 0.5777
0.5007 0.5007 0.2413
0.0080 0.4685 0.7546
0.6884 0.1487 0.4213
0.3462 0.8057 0.0822
0.0054 0.0054 0.7530
0.6798 0.6798 0.4174
0.3442 0.3442 0.0823
```

Calculated values
final energy: -10.3967 eV per atom
size of the total moment: 0.0000 μB/atom
crystal system: monoclinic
calculated volume: 17.82 Å³/atom
Fermi-level density of states: 0.41 states/eV per atom
energy relative to the elements, uncorrected: -0.96 eV per atom



Record 8
Entry from Alexandria: a PBEsol-optimized structure of CaFe2Os (SCAN).

Structure (POSCAR):
```
CaFe2Os
1.0
-0.5484 2.7698 0.5878
-2.7996 -0.6200 0.3094
1.0625 -1.2839 7.0406
Ca Fe Os
1 2 1
Direct
0.5000 0.5000 0.7554
0.0000 0.0000 0.0675
0.5000 0.5000 0.2395
0.0000 0.0000 0.4376
```

Calculated values
final energy: -29.0620 eV per atom
size of the total moment: 1.1673 μB/atom
crystal system: tetragonal
calculated volume: 15.05 Å³/atom
distance to the lowest polymorph of the same formula: 0.0 meV per atom
formation energy: 389 meV/atom
Fermi-level density of states: 1.06 states/eV per atom



Record 9
Entry from Alexandria: a PBEsol-optimized structure of Sr2Sc (SCAN).

Structure (POSCAR):
```
Sr2Sc
1.0
5.9032 0.0000 0.0000
2.9516 5.1123 0.0000
2.9516 1.7041 4.8199
Sc Sr
1 2
Direct
0.0000 0.0000 0.0000
0.7500 0.7500 0.7500
0.2500 0.2500 0.2500
```

Calculated values
final energy: -18.8416 eV per atom
size of the total moment: 0.6047 μB/atom
crystal system: cubic
calculated volume: 48.49 Å³/atom
distance to the lowest polymorph of the same formula: 411.6 meV per atom
formation energy: 754 meV/atom
Fermi-level density of states: 1.56 states/eV per atom



Record 10
Entry from Alexandria: a PBEsol-optimized structure of HfBeTe (SCAN).

Structure (POSCAR):
```
HfBeTe
1.0
3.6553 0.0000 0.0000
0.0000 3.6390 0.0000
0.0000 1.8195 8.7182
Be Te Hf
2 2 2
Direct
0.2500 0.4714 0.0572
0.7500 0.5286 0.9428
0.2500 0.3348 0.3303
0.7500 0.6652 0.6697
0.2500 0.0773 0.8454
0.7500 0.9227 0.1546
```

Calculated values
final energy: -35.3569 eV per atom
size of the total moment: 0.0000 μB/atom
crystal system: orthorhombic
calculated volume: 19.33 Å³/atom
Fermi-level density of states: 0.17 states/eV per atom
energy relative to the elements, uncorrected: -0.60 eV per atom



Record 11
Entry from Alexandria: a PBEsol-optimized structure of MoIr2Os (SCAN).

Structure (POSCAR):
```
MoIr2Os
1.0
3.8275 0.0000 0.0000
0.0000 3.8275 0.0000
0.0000 0.0000 3.8802
Mo Ir Os
1 2 1
Direct
0.5000 0.5000 0.5000
0.0000 0.5000 0.0000
0.5000 0.0000 0.0000
0.0000 0.0000 0.5000
```

Calculated values
final energy: -62.5148 eV per atom
size of the total moment: 0.0003 μB/atom
crystal system: tetragonal
calculated volume: 14.21 Å³/atom
distance to the lowest polymorph of the same formula: 21.3 meV per atom
formation energy: -274 meV/atom
Fermi-level density of states: 0.46 states/eV per atom



Record 12
Entry from Alexandria: a PBEsol-optimized structure of Ir2C (SCAN).

Structure (POSCAR):
```
Ir2C
1.0
-1.7320 -2.4698 -0.1172
1.5893 -1.0024 -2.3629
2.5014 -1.8717 2.4765
C Ir
1 2
Direct
0.0000 0.0000 0.0000
0.0000 0.0000 0.5000
0.5000 0.5000 0.0000
```

Calculated values
final energy: -49.7418 eV per atom
size of the total moment: 0.0005 μB/atom
crystal system: tetragonal
calculated volume: 12.11 Å³/atom
distance to the lowest polymorph of the same formula: 119.6 meV per atom
formation energy: 1024 meV/atom
Fermi-level density of states: 0.84 states/eV per atom